## CeEr2P (PBE)

Data for crystalline CeEr2P at its relaxed geometry.

a b c (Å): 3.660 3.660 10.393
angles (deg): 79.86 79.86 60.00
Last column: magnetic moment on the atom in μB.
Sites, in units of the cell vectors:
Er1 0.887 0.887 0.339  0.01
Er2 0.113 0.113 0.661  0.01
P1 0.500 0.500 0.500  0.00
Ce1 0.000 0.000 0.000  1.13

Magnetic moment   1.6 μB per formula unit
Theoretical density   7.1 g/cm3
Energy relative to the elements   -0.464 eV per atom
Uncorrected energy   -22.33 eV per formula unit
D(E_F)   7.4 states/eV/cell
Crystal system   trigonal
Space-group type   R-3m (166)